NaCo2HgF8 PBE+U optimized geometry; total energy = -49.22 eV per cell; space group = No. 164
1.0
-5.889 1.000 -0.611
1.971 -5.440 1.605
-0.367 1.759 6.413
F Hg Na Co
8 1 1 2
direct
0.159 0.318 0.757
0.841 0.682 0.243
0.682 0.841 0.757
0.841 0.159 0.243
0.159 0.841 0.757
0.667 0.333 0.595
0.333 0.667 0.405
0.318 0.159 0.243
0.000 0.000 0.500
0.000 0.000 0.000
0.333 0.667 0.679
0.667 0.333 0.321